[1]
PBE ReAs, relaxed; DFT formation energy = 0.30 eV per atom; space group = Cm, No. 8; calculated density = 13.50 g cm⁻³; magnetization = 0.00 μB/cell
1.0
1.523 5.333 -0.005
-1.523 5.333 -0.005
0.000 0.898 5.932
Re As
3 3
direct
0.997 0.997 0.035
0.942 0.942 0.593
0.296 0.296 0.911
0.346 0.346 0.323
0.619 0.619 0.730
0.632 0.632 0.240

---

[2]
PBE CuBP2S, relaxed; ΔE_f (raw) = 0.92 eV/atom; space group = P4/mmm, No. 123; calculated density = 3.96 g cm⁻³; magnetization = 0.00 μB/cell
1.0
3.949 0.000 0.000
0.000 3.949 0.000
0.000 0.000 4.529
P S B Cu
2 1 1 1
direct
0.000 0.500 0.000
0.500 0.000 0.000
0.000 0.000 0.500
0.000 0.000 0.000
0.500 0.500 0.500